Pm6CdNi | PBE | optimized geometry

Cell: 6.5419 7.4185 6.7758 Å, 56.81 78.25 68.16°
Positions (direct):
Pm 0.2973 0.2598 0.0000
Pm 0.2564 0.4935 0.3938
Pm 0.7027 0.7402 0.0000
Pm 0.7436 0.5065 0.6062
Pm 0.7436 0.1126 0.3938
Pm 0.2564 0.8874 0.6062
Ni 0.5000 0.5000 0.0000
Cd 0.0000 0.0000 0.0000

Results
Electronic total energy, eV per cell: -34.87
ΔE_f, eV per atom: 0.0415